Below is CdSnO2F after structural relaxation, with properties calculated at the PBE level.

Cell lengths 4.229, 4.229, 4.372 Å; angles 90.00, 90.00, 90.00 degrees
Last column: magnetic moment on the atom in μB.
Atoms (fractional coordinates):
Sn  0.500  0.500  0.500  -0.01
O  0.000  0.500  0.000  0.14
O  0.500  0.000  0.000  0.14
Cd  0.000  0.000  0.000  0.03
F  0.000  0.000  0.500  0.01

Calculated values
space-group type	P4/mmm (123)
total moment	0.3	Bohr magnetons per cell
ΔE_f (raw)	-0.804	eV/atom
total DFT energy (no corrections)	-20.73	eV/f.u.